(1)
Material: NaTiW3
Method: DFT, PBEsol
State: optimized geometry

It has space group Pm-3m (No. 221), with a = 4.610 Å, b = 4.610 Å, c = 4.610 Å, α = 90.00°, β = 90.00° and γ = 90.00°. The asymmetric unit holds Na at (0.000, 0.000, 0.000), Ti at (0.500, 0.500, 0.500) and W at (0.000, 0.500, 0.500).

The calculation puts the density of states at the Fermi level at 3.55 states/eV per cell. Its magnetic moment is 0.00 μB/f.u.


(2)
Material: NaTiW2
Method: DFT, PBEsol
State: optimized geometry

It has space group Fm-3m (No. 225), with a = 6.372 Å, b = 6.372 Å, c = 6.372 Å, α = 90.00°, β = 90.00° and γ = 90.00°. The asymmetric unit holds Na at (0.000, 0.000, 0.000), Ti at (0.000, 0.000, 0.500) and W at (0.250, 0.250, 0.250).

The calculation puts the density of states at the Fermi level at 22.07 states/eV per cell. Its magnetic moment is 0.00 μB/f.u.


(3)
Material: Na2TiW
Method: DFT, PBEsol
State: optimized geometry

It has space group Fm-3m (No. 225), with a = 6.746 Å, b = 6.746 Å, c = 6.746 Å, α = 90.00°, β = 90.00° and γ = 90.00°. The asymmetric unit holds Na at (0.250, 0.250, 0.250), Ti at (0.000, 0.000, 0.000) and W at (0.000, 0.000, 0.500).

The calculation puts the density of states at the Fermi level at 16.87 states/eV per cell. Its magnetic moment is 0.74 μB/f.u.


(4)
Material: NaYTi2
Method: DFT, PBEsol
State: optimized geometry

It has space group Fm-3m (No. 225), with a = 7.086 Å, b = 7.086 Å, c = 7.086 Å, α = 90.00°, β = 90.00° and γ = 90.00°. The asymmetric unit holds Na at (0.000, 0.000, 0.000), Y at (0.000, 0.000, 0.500) and Ti at (0.250, 0.250, 0.250).

The calculation puts the density of states at the Fermi level at 27.08 states/eV per cell. Its magnetic moment is 2.57 μB/f.u.


Number 1: DFT formation energy 2.075 eV per atom. Number 2: DFT formation energy 1.238 eV per atom. Number 3: DFT formation energy 1.751 eV per atom. Number 4: DFT formation energy 0.852 eV per atom.